# 1
# PBE NaScGaSn, relaxed
data_NaScGaSn
_cell_length_a 7.0941
_cell_length_b 7.0941
_cell_length_c 7.0941
_cell_angle_alpha 90.00
_cell_angle_beta 90.00
_cell_angle_gamma 90.00
_space_group_name_H-M_alt 'P 1'
_space_group_IT_number 1
loop_
_space_group_symop_operation_xyz
'x,y,z'
loop_
_atom_site_label
_atom_site_type_symbol
_atom_site_fract_x
_atom_site_fract_y
_atom_site_fract_z
Na1 Na 0.0000 0.0000 0.0000
Na2 Na 0.0000 0.5000 0.5000
Na3 Na 0.5000 0.0000 0.5000
Na4 Na 0.5000 0.5000 0.0000
Sc1 Sc 0.0000 0.0000 0.5000
Sc2 Sc 0.0000 0.5000 0.0000
Sc3 Sc 0.5000 0.0000 0.0000
Sc4 Sc 0.5000 0.5000 0.5000
Ga1 Ga 0.2500 0.2500 0.2500
Ga2 Ga 0.2500 0.7500 0.7500
Ga3 Ga 0.7500 0.2500 0.7500
Ga4 Ga 0.7500 0.7500 0.2500
Sn1 Sn 0.2500 0.2500 0.7500
Sn2 Sn 0.2500 0.7500 0.2500
Sn3 Sn 0.7500 0.2500 0.2500
Sn4 Sn 0.7500 0.7500 0.7500
# - E_form: -0.24 eV per atom
# - SG: F-43m (216)

---

# 2
# PBE Hg6Sb2I2Cl, relaxed
data_Hg6Sb2I2Cl
_cell_length_a 6.8830
_cell_length_b 8.3572
_cell_length_c 8.7608
_cell_angle_alpha 70.24
_cell_angle_beta 81.16
_cell_angle_gamma 67.99
_space_group_name_H-M_alt 'P 1'
_space_group_IT_number 1
loop_
_space_group_symop_operation_xyz
'x,y,z'
loop_
_atom_site_label
_atom_site_type_symbol
_atom_site_fract_x
_atom_site_fract_y
_atom_site_fract_z
Hg1 Hg 0.0007 0.2818 0.4021
Hg2 Hg 0.3182 0.9520 0.4030
Hg3 Hg 0.4068 0.3553 0.8779
Hg4 Hg 0.5932 0.6447 0.1221
Hg5 Hg 0.6818 0.0480 0.5970
Hg6 Hg 0.9993 0.7182 0.5979
Sb1 Sb 0.3563 0.4018 0.5607
Sb2 Sb 0.6437 0.5982 0.4393
I1 I 0.3709 0.8108 0.8383
I2 I 0.6291 0.1892 0.1617
Cl1 Cl 0.0000 0.5000 0.0000
# - SG: P-1 (2)
# - ΔE_f (raw): -0.155 eV per atom

---

Number 1: total DFT energy (no corrections) -15.64 eV per formula unit. Number 2: total DFT energy (no corrections) -16.70 eV per formula unit.